(1)
The following is a DFT calculation (PBE-GGA) of LaZn2CuHg after structural relaxation.

- theoretical density (g/cm³) = 4.5
- space group = P4/mmm, No. 123

Cell: 6.054 6.054 5.416 Å, 90.00 90.00 90.00°
Atoms (fractional coordinates):
La  0.000  0.000  0.000
Zn  0.000  0.500  0.000
Zn  0.500  0.000  0.000
Cu  0.000  0.000  0.500
Hg  0.500  0.500  0.500



(2)
The following is a DFT calculation (PBE-GGA) of LiCuHg after structural relaxation.

- polymorph energy (0 for the lowest one) (eV/atom) = 0.027
- theoretical density (g/cm³) = 9.3
- space group = Pm, No. 6

Cell: 3.873 4.063 6.445 Å, 90.00 107.34 90.00°
Atoms (fractional coordinates):
Li  0.000  0.000  0.000
Li  0.177  0.500  0.354
Cu  0.319  0.000  0.641
Cu  0.676  0.000  0.355
Hg  0.522  0.500  0.044
Hg  0.831  0.500  0.665



(3)
The following is a DFT calculation (PBE-GGA) of LiCuHg after structural relaxation.

- polymorph energy (0 for the lowest one) (eV/atom) = 0.024
- theoretical density (g/cm³) = 9.6
- space group = P-3m1, No. 164

Cell: 4.475 4.475 5.398 Å, 90.00 90.00 120.00°
Atoms (fractional coordinates):
Li  0.333  0.667  0.312
Li  0.667  0.333  0.688
Cu  0.000  0.000  0.000
Cu  0.000  0.000  0.500
Hg  0.333  0.667  0.802
Hg  0.667  0.333  0.198



(4)
The following is a DFT calculation (PBE-GGA) of LiCuHg2 after structural relaxation.

- theoretical density (g/cm³) = 10.8
- space group = F-43m, No. 216

Cell: 6.628 6.628 6.628 Å, 90.00 90.00 90.00°
Atoms (fractional coordinates):
Li  0.000  0.000  0.000
Li  0.000  0.500  0.500
Li  0.500  0.000  0.500
Li  0.500  0.500  0.000
Cu  0.250  0.250  0.250
Cu  0.250  0.750  0.750
Cu  0.750  0.250  0.750
Cu  0.750  0.750  0.250
Hg  0.000  0.000  0.500
Hg  0.000  0.500  0.000
Hg  0.250  0.250  0.750
Hg  0.250  0.750  0.250
Hg  0.500  0.000  0.000
Hg  0.500  0.500  0.500
Hg  0.750  0.250  0.250
Hg  0.750  0.750  0.750



(5)
The following is a DFT calculation (PBE-GGA) of Li2CuHg after structural relaxation.

- theoretical density (g/cm³) = 6.7
- space group = I-42d, No. 122

Cell: 3.825 3.825 18.982 Å, 90.00 90.00 90.00°
Atoms (fractional coordinates):
Li  0.241  0.250  0.125
Li  0.250  0.741  0.375
Li  0.250  0.759  0.875
Li  0.259  0.250  0.625
Li  0.741  0.750  0.625
Li  0.750  0.241  0.875
Li  0.750  0.259  0.375
Li  0.759  0.750  0.125
Cu  0.000  0.000  0.000
Cu  0.000  0.500  0.250
Cu  0.500  0.000  0.750
Cu  0.500  0.500  0.500
Hg  0.000  0.000  0.500
Hg  0.000  0.500  0.750
Hg  0.500  0.000  0.250
Hg  0.500  0.500  0.000



(6)
The following is a DFT calculation (PBE-GGA) of Li5CuHg2 after structural relaxation.

- theoretical density (g/cm³) = 5.3
- space group = P6_3/mmc, No. 194

Cell: 4.462 4.462 18.224 Å, 90.00 90.00 120.00°
Atoms (fractional coordinates):
Li  0.000  0.000  0.168
Li  0.000  0.000  0.332
Li  0.000  0.000  0.668
Li  0.000  0.000  0.832
Li  0.333  0.667  0.047
Li  0.333  0.667  0.250
Li  0.333  0.667  0.453
Li  0.667  0.333  0.547
Li  0.667  0.333  0.750
Li  0.667  0.333  0.953
Cu  0.333  0.667  0.750
Cu  0.667  0.333  0.250
Hg  0.333  0.667  0.608
Hg  0.333  0.667  0.892
Hg  0.667  0.333  0.108
Hg  0.667  0.333  0.392



(7)
The following is a DFT calculation (PBE-GGA) of Li8Cu2Hg after structural relaxation.

- polymorph energy (0 for the lowest one) (eV/atom) = 0.000
- theoretical density (g/cm³) = 3.6
- space group = C2/m, No. 12

Cell: 7.563 7.563 5.964 Å, 99.67 99.67 31.35°
Atoms (fractional coordinates):
Li  0.055  0.055  0.235
Li  0.139  0.139  0.700
Li  0.312  0.312  0.593
Li  0.399  0.399  0.038
Li  0.601  0.601  0.962
Li  0.688  0.688  0.407
Li  0.861  0.861  0.300
Li  0.945  0.945  0.765
Cu  0.230  0.230  0.116
Cu  0.770  0.770  0.884
Hg  0.500  0.500  0.500



(8)
The following is a DFT calculation (PBE-GGA) of LiCuHg2 after structural relaxation.

- theoretical density (g/cm³) = 10.3
- space group = P2/m, No. 10

Cell: 4.597 3.269 5.466 Å, 90.00 112.70 90.00°
Atoms (fractional coordinates):
Li  0.000  0.000  0.000
Cu  0.000  0.500  0.500
Hg  0.500  0.000  0.500
Hg  0.500  0.500  0.000



no.,formation enthalpy at 0 K (eV per atom),DOS(E_F) (states/eV/f.u.)
1,0.8288,4.99
2,-0.1079,0.83
3,-0.1110,1.19
4,-0.0083,1.24
5,0.0172,1.04
6,-0.1510,4.09
7,-0.1020,3.49
8,-0.0141,0.96